! Ce7Au2C2 | Alexandria | PBE | optimized geometry; values from VASP
&SYSTEM
  ibrav = 0, nat = 11, ntyp = 3
/
ATOMIC_SPECIES
Ce 140.12 Ce.upf
Au 196.97 Au.upf
C 12.01 C.upf
ATOMIC_POSITIONS crystal
Ce 0.000 0.000 0.000
Ce 0.060 0.481 0.738
Ce 0.444 0.444 0.179
Ce 0.481 0.060 0.738
Ce 0.519 0.940 0.262
Ce 0.556 0.556 0.821
Ce 0.940 0.519 0.262
Au 0.191 0.809 0.500
Au 0.809 0.191 0.500
C 0.225 0.225 0.037
C 0.775 0.775 0.963
CELL_PARAMETERS angstrom
5.716 -3.506 0.000
5.716 3.506 0.000
-0.642 0.000 6.274
! DOS(E_F)	23.9	states/eV per cell
! electronic total energy	-68.9	eV for the cell shown
! total moment	1.31	μB/f.u.
! formation energy	-0.21	eV per atom